4
Lattice="0.0000 2.8343 2.8343 2.8343 0.0000 2.8343 2.8343 2.8343 0.0000" Properties=species:S:1:pos:R:3 comment="GGA-PBEsol CdNF2, relaxed" total_energy_ev_per_cell=-14.1 sg="Fm-3m (225)" crystal_system=cubic pbc="T T T"
Cd 0.0000 0.0000 0.0000
N 2.8343 2.8343 2.8343
F 1.4172 1.4172 1.4172
F 4.2515 4.2515 4.2515

5
Lattice="3.5127 0.0000 0.0000 0.0000 3.5127 0.0000 0.0000 0.0000 4.6220" Properties=species:S:1:pos:R:3 comment="GGA-PBEsol CdN2F2, relaxed" total_energy_ev_per_cell=-15.7 sg="P4/mmm (123)" crystal_system=tetragonal pbc="T T T"
Cd 0.0000 0.0000 0.0000
N 0.0000 1.7563 2.3110
N 1.7563 0.0000 2.3110
F 1.7563 1.7563 0.0000
F 1.7563 1.7563 2.3110

5
Lattice="4.2412 0.0000 0.0000 0.0000 4.2412 0.0000 0.0000 0.0000 4.2412" Properties=species:S:1:pos:R:3 comment="GGA-PBEsol CdNF3, relaxed" total_energy_ev_per_cell=-16.3 sg="Pm-3m (221)" crystal_system=cubic pbc="T T T"
Cd 0.0000 0.0000 0.0000
N 2.1206 2.1206 2.1206
F 0.0000 0.0000 2.1206
F 0.0000 2.1206 0.0000
F 2.1206 0.0000 0.0000